1.
Computed, not measured: an optimized crystal structure of RbSm2Cu3Te4S at the GGA-PBE level of DFT.

## Properties
- Calculated total energy: -48.4 eV/f.u.
- Crystal system: orthorhombic
- Space group: Cmcm (63)

abc: 8.0486 8.0486 17.9089
angles: 90.00 90.00 148.82
Closest atoms and distances in Å follow each position.
Sites, in units of the cell vectors:
Cu 0.5847 0.4153 0.0194  4 Te 2.62-2.84, 1 Cu 2.72
Cu 0.3304 0.6696 0.2500  2 S 2.39
Cu 0.5847 0.4153 0.4806  4 Te 2.62-2.84, 1 Cu 2.72
Cu 0.4153 0.5847 0.5194  4 Te 2.62-2.84, 1 Cu 2.72
Cu 0.6696 0.3304 0.7500  2 S 2.39
Cu 0.4153 0.5847 0.9806  4 Te 2.62-2.84, 1 Cu 2.72
Rb 0.0719 0.9281 0.2500  6 Te 3.47-3.68, 2 S 3.70
Rb 0.9281 0.0719 0.7500  6 Te 3.47-3.68, 2 S 3.70
S 0.7654 0.2346 0.2500  2 Cu 2.39
S 0.2346 0.7654 0.7500  2 Cu 2.39
Sm 0.8049 0.1951 0.1004  1 S 2.75
Sm 0.8049 0.1951 0.3996  1 S 2.75
Sm 0.1951 0.8049 0.6004  1 S 2.75
Sm 0.1951 0.8049 0.8996  1 S 2.75
Te 0.1600 0.8400 0.0717  2 Cu 2.63
Te 0.4467 0.5533 0.1241  3 Cu 2.62-2.89
Te 0.4467 0.5533 0.3759  3 Cu 2.62-2.89
Te 0.1600 0.8400 0.4283  2 Cu 2.63
Te 0.8400 0.1600 0.5717  2 Cu 2.63
Te 0.5533 0.4467 0.6241  3 Cu 2.62-2.89
Te 0.5533 0.4467 0.8759  3 Cu 2.62-2.89
Te 0.8400 0.1600 0.9283  2 Cu 2.63

***

2.
Computed, not measured: an optimized crystal structure of RbCuSnTeS2 at the GGA-PBE level of DFT.

## Properties
- Calculated total energy: -23.0 eV/f.u.
- Crystal system: orthorhombic
- Space group: Cmcm (63)

abc: 8.2868 8.2868 11.1385
angles: 90.00 90.00 153.19
Closest atoms and distances in Å follow each position.
Sites, in units of the cell vectors:
Cu 0.9568 0.0432 0.2500  2 S 2.28
Cu 0.0432 0.9568 0.7500  2 S 2.28
Rb 0.2705 0.7295 0.2500  4 S 3.44, 2 Cu 3.57, 2 Te 3.73, 2 Rb 3.84
Rb 0.7295 0.2705 0.7500  4 S 3.44, 2 Cu 3.57, 2 Te 3.73, 2 Rb 3.84
S 0.8941 0.1059 0.0668  1 Cu 2.28
S 0.8941 0.1059 0.4332  1 Cu 2.28
S 0.1059 0.8941 0.5668  1 Cu 2.28
S 0.1059 0.8941 0.9332  1 Cu 2.28
Sn 0.5000 0.5000 0.0000  4 S 2.68
Sn 0.5000 0.5000 0.5000  4 S 2.68
Te 0.5724 0.4276 0.2500  2 Cu 2.68
Te 0.4276 0.5724 0.7500  2 Cu 2.68

***

3.
Computed, not measured: an optimized crystal structure of RbTaCu2S4 at the GGA-PBE level of DFT.

## Properties
- Calculated total energy: -43.8 eV/f.u.
- Crystal system: orthorhombic
- Space group: Ama2 (40)

abc: 7.5421 9.7589 9.7589
angles: 146.82 90.00 90.00
Closest atoms and distances in Å follow each position.
Sites, in units of the cell vectors:
Cu 0.7500 0.7916 0.0018  4 S 2.35-2.36
Cu 0.0000 0.3779 0.3779  4 S 2.34-2.36
Cu 0.5000 0.3779 0.3779  4 S 2.34-2.36
Cu 0.2500 0.0018 0.7916  4 S 2.35-2.36
Rb 0.7500 0.8275 0.4644  9 S 3.48-3.80
Rb 0.2500 0.4644 0.8275  9 S 3.48-3.80
S 0.0030 0.2594 0.0480  1 Ta 2.30, 2 Cu 2.34-2.35
S 0.4970 0.2594 0.0480  1 Ta 2.30, 2 Cu 2.34-2.35
S 0.5030 0.0480 0.2594  1 Ta 2.30, 2 Cu 2.34-2.35
S 0.9970 0.0480 0.2594  1 Ta 2.30, 2 Cu 2.34-2.35
S 0.2500 0.8546 0.4416  1 Ta 2.29, 1 Cu 2.35
S 0.2500 0.6386 0.6247  1 Ta 2.33, 3 Cu 2.36
S 0.7500 0.6247 0.6386  1 Ta 2.33, 3 Cu 2.36
S 0.7500 0.4416 0.8546  1 Ta 2.29, 1 Cu 2.35
Ta 0.2500 0.5064 0.2865  4 S 2.29-2.33
Ta 0.7500 0.2865 0.5064  4 S 2.29-2.33

***

4.
Computed, not measured: an optimized crystal structure of Rb3Ta2Cu3S8 at the GGA-PBE level of DFT.

## Properties
- Calculated total energy: -86.7 eV/f.u.
- Crystal system: monoclinic
- Space group: C2 (5)

abc: 10.6242 10.6242 7.4919
angles: 96.78 96.78 30.48
Closest atoms and distances in Å follow each position.
Sites, in units of the cell vectors:
Cu 0.1080 0.6452 0.3189  4 S 2.33-2.38
Cu 0.7377 0.2623 0.5000  4 S 2.36
Cu 0.3548 0.8920 0.6811  4 S 2.33-2.38
Rb 0.0046 0.9954 0.0000  8 S 3.36-3.60
Rb 0.6650 0.7015 0.1976  6 S 3.29-3.65
Rb 0.2985 0.3350 0.8024  6 S 3.29-3.65
S 0.8238 0.8596 0.0739  1 Ta 2.29, 1 Cu 2.34
S 0.4575 0.4642 0.2509  1 Ta 2.32, 2 Cu 2.36-2.38
S 0.2713 0.3067 0.3598  1 Ta 2.28, 1 Cu 2.33
S 0.0571 0.1265 0.4398  1 Ta 2.32, 2 Cu 2.36-2.37
S 0.8735 0.9429 0.5602  1 Ta 2.32, 2 Cu 2.36-2.37
S 0.6933 0.7287 0.6402  1 Ta 2.28, 1 Cu 2.33
S 0.5358 0.5425 0.7491  1 Ta 2.32, 2 Cu 2.36-2.38
S 0.1404 0.1762 0.9261  1 Ta 2.29, 1 Cu 2.34
Ta 0.6045 0.1416 0.3117  4 S 2.28-2.32
Ta 0.8584 0.3955 0.6883  4 S 2.28-2.32

***

5.
Computed, not measured: an optimized crystal structure of RbTaCuTeS2 at the GGA-PBE level of DFT.

## Properties
- Calculated total energy: -32.2 eV/f.u.
- Crystal system: orthorhombic
- Space group: Cmcm (63)

abc: 8.4113 8.4113 10.1059
angles: 90.00 90.00 154.78
Closest atoms and distances in Å follow each position.
Sites, in units of the cell vectors:
Cu 0.5241 0.4759 0.2500  2 S 2.26
Cu 0.4759 0.5241 0.7500  2 S 2.26
Rb 0.2170 0.7830 0.2500  4 S 3.29, 2 Cu 3.66, 2 Rb 3.67
Rb 0.7830 0.2170 0.7500  4 S 3.29, 2 Cu 3.66, 2 Rb 3.67
S 0.5976 0.4024 0.0613  1 Cu 2.26, 2 Ta 2.52
S 0.5976 0.4024 0.4387  1 Cu 2.26, 2 Ta 2.52
S 0.4024 0.5976 0.5613  1 Cu 2.26, 2 Ta 2.52
S 0.4024 0.5976 0.9387  1 Cu 2.26, 2 Ta 2.52
Ta 0.0000 0.0000 0.0000  4 S 2.52
Ta 0.0000 0.0000 0.5000  4 S 2.52
Te 0.9125 0.0875 0.2500  2 Cu 2.59
Te 0.0875 0.9125 0.7500  2 Cu 2.59

***

6.
Computed, not measured: an optimized crystal structure of RbTb2Cu3S5 at the GGA-PBE level of DFT.

## Properties
- Calculated total energy: -55.7 eV/f.u.
- Crystal system: orthorhombic
- Space group: Cmcm (63)

abc: 7.2370 7.2370 16.5650
angles: 90.00 90.00 148.26
Closest atoms and distances in Å follow each position.
Sites, in units of the cell vectors:
Cu 0.4163 0.5837 0.0376  4 S 2.35-2.54
Cu 0.6545 0.3455 0.2500  2 S 2.30
Cu 0.4163 0.5837 0.4624  4 S 2.35-2.54
Cu 0.5837 0.4163 0.5376  4 S 2.35-2.54
Cu 0.3455 0.6545 0.7500  2 S 2.30
Cu 0.5837 0.4163 0.9624  4 S 2.35-2.54
Rb 0.9339 0.0661 0.2500  8 S 3.29-3.47, 2 Cu 3.65
Rb 0.0661 0.9339 0.7500  8 S 3.29-3.47, 2 Cu 3.65
S 0.8338 0.1662 0.0699  2 Cu 2.35
S 0.5603 0.4397 0.1145  3 Cu 2.37-2.60
S 0.2385 0.7615 0.2500  2 Cu 2.30
S 0.5603 0.4397 0.3855  3 Cu 2.37-2.60
S 0.8338 0.1662 0.4301  2 Cu 2.35
S 0.1662 0.8338 0.5699  2 Cu 2.35
S 0.4397 0.5603 0.6145  3 Cu 2.37-2.60
S 0.7615 0.2385 0.7500  2 Cu 2.30
S 0.4397 0.5603 0.8855  3 Cu 2.37-2.60
S 0.1662 0.8338 0.9301  2 Cu 2.35
Tb 0.1918 0.8082 0.0928  6 S 2.68-2.82
Tb 0.1918 0.8082 0.4072  6 S 2.68-2.82
Tb 0.8082 0.1918 0.5928  6 S 2.68-2.82
Tb 0.8082 0.1918 0.9072  6 S 2.68-2.82

***

7.
Computed, not measured: an optimized crystal structure of RbTb2CuTe3S at the GGA-PBE level of DFT.

## Properties
- Calculated total energy: -37.5 eV/f.u.
- Crystal system: orthorhombic
- Space group: Cmcm (63)

abc: 7.8316 7.8316 14.9567
angles: 90.00 90.00 148.21
Closest atoms and distances in Å follow each position.
Sites, in units of the cell vectors:
Cu 0.6574 0.3426 0.2500  2 S 2.43, 2 Te 2.65
Cu 0.3426 0.6574 0.7500  2 S 2.43, 2 Te 2.65
Rb 0.4114 0.5886 0.2500  2 S 3.34, 4 Te 3.63, 1 Cu 3.71
Rb 0.5886 0.4114 0.7500  2 S 3.34, 4 Te 3.63, 1 Cu 3.71
S 0.0815 0.9185 0.2500  2 Cu 2.43, 2 Tb 2.71
S 0.9185 0.0815 0.7500  2 Cu 2.43, 2 Tb 2.71
Tb 0.1348 0.8652 0.0767  1 S 2.71, 2 Te 3.03
Tb 0.1348 0.8652 0.4233  1 S 2.71, 2 Te 3.03
Tb 0.8652 0.1348 0.5767  1 S 2.71, 2 Te 3.03
Tb 0.8652 0.1348 0.9233  1 S 2.71, 2 Te 3.03
Te 0.5000 0.5000 0.0000  4 Tb 3.17
Te 0.7712 0.2288 0.1148  1 Cu 2.65
Te 0.7712 0.2288 0.3852  1 Cu 2.65
Te 0.5000 0.5000 0.5000  4 Tb 3.17
Te 0.2288 0.7712 0.6148  1 Cu 2.65
Te 0.2288 0.7712 0.8852  1 Cu 2.65

***

8.
Computed, not measured: an optimized crystal structure of RbTb2Cu3Te4S at the GGA-PBE level of DFT.

## Properties
- Calculated total energy: -48.2 eV/f.u.
- Crystal system: orthorhombic
- Space group: Cmcm (63)

abc: 8.0140 8.0140 17.7019
angles: 90.00 90.00 148.94
Closest atoms and distances in Å follow each position.
Sites, in units of the cell vectors:
Cu 0.5843 0.4157 0.0192  4 Te 2.60-2.86, 1 Cu 2.69
Cu 0.3290 0.6710 0.2500  2 S 2.38
Cu 0.5843 0.4157 0.4808  4 Te 2.60-2.86, 1 Cu 2.69
Cu 0.4157 0.5843 0.5192  4 Te 2.60-2.86, 1 Cu 2.69
Cu 0.6710 0.3290 0.7500  2 S 2.38
Cu 0.4157 0.5843 0.9808  4 Te 2.60-2.86, 1 Cu 2.69
Rb 0.0749 0.9251 0.2500  6 Te 3.45-3.67, 2 S 3.60
Rb 0.9251 0.0749 0.7500  6 Te 3.45-3.67, 2 S 3.60
S 0.7623 0.2377 0.2500  2 Cu 2.38
S 0.2377 0.7623 0.7500  2 Cu 2.38
Tb 0.8050 0.1950 0.1016  1 S 2.71
Tb 0.8050 0.1950 0.3984  1 S 2.71
Tb 0.1950 0.8050 0.6016  1 S 2.71
Tb 0.1950 0.8050 0.8984  1 S 2.71
Te 0.1624 0.8376 0.0705  2 Cu 2.62
Te 0.4451 0.5549 0.1255  3 Cu 2.60-2.86
Te 0.4451 0.5549 0.3745  3 Cu 2.60-2.86
Te 0.1624 0.8376 0.4295  2 Cu 2.62
Te 0.8376 0.1624 0.5705  2 Cu 2.62
Te 0.5549 0.4451 0.6255  3 Cu 2.60-2.86
Te 0.5549 0.4451 0.8745  3 Cu 2.60-2.86
Te 0.8376 0.1624 0.9295  2 Cu 2.62

***

9.
Computed, not measured: an optimized crystal structure of RbTb2Cu3TeS4 at the GGA-PBE level of DFT.

## Properties
- Calculated total energy: -53.3 eV/f.u.
- Crystal system: orthorhombic
- Space group: Cmcm (63)

abc: 7.2900 7.2900 17.2602
angles: 90.00 90.00 147.72
Closest atoms and distances in Å follow each position.
Sites, in units of the cell vectors:
Cu 0.9154 0.0846 0.0382  4 S 2.37-2.56
Cu 0.1470 0.8530 0.2500  2 Te 2.51, 2 S 2.72
Cu 0.9154 0.0846 0.4618  4 S 2.37-2.56
Cu 0.0846 0.9154 0.5382  4 S 2.37-2.56
Cu 0.8530 0.1470 0.7500  2 Te 2.51, 2 S 2.72
Cu 0.0846 0.9154 0.9618  4 S 2.37-2.56
Rb 0.4526 0.5474 0.2500  2 Cu 3.39, 2 Te 3.46, 6 S 3.51-3.54
Rb 0.5474 0.4526 0.7500  2 Cu 3.39, 2 Te 3.46, 6 S 3.51-3.54
S 0.3327 0.6673 0.0691  2 Cu 2.39, 1 Tb 2.67
S 0.0606 0.9394 0.1091  2 Cu 2.37-2.56
S 0.0606 0.9394 0.3909  2 Cu 2.37-2.56
S 0.3327 0.6673 0.4309  2 Cu 2.39, 1 Tb 2.67
S 0.6673 0.3327 0.5691  2 Cu 2.39, 1 Tb 2.67
S 0.9394 0.0606 0.6091  2 Cu 2.37-2.56
S 0.9394 0.0606 0.8909  2 Cu 2.37-2.56
S 0.6673 0.3327 0.9309  2 Cu 2.39, 1 Tb 2.67
Tb 0.6873 0.3127 0.0848  5 S 2.67-2.89
Tb 0.6873 0.3127 0.4152  5 S 2.67-2.89
Tb 0.3127 0.6873 0.5848  5 S 2.67-2.89
Tb 0.3127 0.6873 0.9152  5 S 2.67-2.89
Te 0.7524 0.2476 0.2500  2 Cu 2.51
Te 0.2476 0.7524 0.7500  2 Cu 2.51

***

10.
Computed, not measured: an optimized crystal structure of RbCuTcS3 at the GGA-PBE level of DFT.

## Properties
- Relative energy among the computed polymorphs: 3.8 meV/atom
- Crystal system: monoclinic
- Space group: P2_1/m (11)

abc: 7.9500 3.6744 9.5914
angles: 90.00 114.02 90.00
Closest atoms and distances in Å follow each position.
Sites, in units of the cell vectors:
Cu 0.0800 0.2500 0.1084  4 S 2.23-2.39
Cu 0.9200 0.7500 0.8916  4 S 2.23-2.39
Rb 0.7417 0.7500 0.2293  7 S 3.27-3.66
Rb 0.2583 0.2500 0.7707  7 S 3.27-3.66
S 0.2377 0.7500 0.0640  3 Cu 2.36-2.39, 1 Tc 2.39
S 0.1217 0.2500 0.3533  1 Cu 2.23, 2 Tc 2.44
S 0.5263 0.2500 0.3875  3 Tc 2.42-2.47
S 0.4737 0.7500 0.6125  3 Tc 2.42-2.47
S 0.8783 0.7500 0.6467  1 Cu 2.23, 2 Tc 2.44
S 0.7623 0.2500 0.9360  3 Cu 2.36-2.39, 1 Tc 2.39
Tc 0.3109 0.7500 0.3313  6 S 2.39-2.47
Tc 0.6891 0.2500 0.6687  6 S 2.39-2.47

***

11.
Computed, not measured: an optimized crystal structure of RbCuTcS3 at the GGA-PBE level of DFT.

## Properties
- Relative energy among the computed polymorphs: 0.0 meV/atom
- Crystal system: orthorhombic
- Space group: Pnma (62)

abc: 14.4368 3.6917 9.6720
angles: 90.00 90.00 90.00
Closest atoms and distances in Å follow each position.
Sites, in units of the cell vectors:
Cu 0.4863 0.7500 0.0986  4 S 2.24-2.39
Cu 0.9863 0.7500 0.4014  4 S 2.24-2.39
Cu 0.0137 0.2500 0.5986  4 S 2.24-2.39
Cu 0.5137 0.2500 0.9014  4 S 2.24-2.39
Rb 0.2575 0.2500 0.0573  7 S 3.29-3.43
Rb 0.7575 0.2500 0.4427  7 S 3.29-3.43
Rb 0.2425 0.7500 0.5573  7 S 3.29-3.43
Rb 0.7425 0.7500 0.9427  7 S 3.29-3.43
S 0.0688 0.7500 0.0654  3 Tc 2.42-2.48
S 0.5854 0.2500 0.1246  3 Cu 2.35-2.39, 1 Tc 2.38
S 0.8837 0.7500 0.2274  1 Cu 2.24, 2 Tc 2.45
S 0.3837 0.7500 0.2726  1 Cu 2.24, 2 Tc 2.45
S 0.0854 0.2500 0.3754  3 Cu 2.35-2.39, 1 Tc 2.38
S 0.5688 0.7500 0.4346  3 Tc 2.42-2.48
S 0.4312 0.2500 0.5654  3 Tc 2.42-2.48
S 0.9146 0.7500 0.6246  3 Cu 2.35-2.39, 1 Tc 2.38
S 0.6163 0.2500 0.7274  1 Cu 2.24, 2 Tc 2.45
S 0.1163 0.2500 0.7726  1 Cu 2.24, 2 Tc 2.45
S 0.4146 0.7500 0.8754  3 Cu 2.35-2.39, 1 Tc 2.38
S 0.9312 0.2500 0.9346  3 Tc 2.42-2.48
Tc 0.9899 0.2500 0.1752  6 S 2.38-2.48
Tc 0.4899 0.2500 0.3248  6 S 2.38-2.48
Tc 0.5101 0.7500 0.6752  6 S 2.38-2.48
Tc 0.0101 0.7500 0.8248  6 S 2.38-2.48

***

12.
Computed, not measured: an optimized crystal structure of RbCuTcS3 at the GGA-PBE level of DFT.

## Properties
- Relative energy among the computed polymorphs: 40.2 meV/atom
- Crystal system: orthorhombic
- Space group: Cmcm (63)

abc: 7.6626 7.6626 9.4686
angles: 90.00 90.00 27.36
Closest atoms and distances in Å follow each position.
Sites, in units of the cell vectors:
Cu 0.4660 0.4660 0.2500  4 S 2.26-2.29
Cu 0.5340 0.5340 0.7500  4 S 2.26-2.29
Rb 0.7476 0.7476 0.2500  8 S 3.33-3.45, 2 Rb 3.62, 2 Cu 3.72
Rb 0.2524 0.2524 0.7500  8 S 3.33-3.45, 2 Rb 3.62, 2 Cu 3.72
S 0.3901 0.3901 0.0431  1 Cu 2.26, 2 Tc 2.48
S 0.0603 0.0603 0.2500  2 Cu 2.29, 2 Tc 2.53
S 0.3901 0.3901 0.4569  1 Cu 2.26, 2 Tc 2.48
S 0.6099 0.6099 0.5431  1 Cu 2.26, 2 Tc 2.48
S 0.9397 0.9397 0.7500  2 Cu 2.29, 2 Tc 2.53
S 0.6099 0.6099 0.9569  1 Cu 2.26, 2 Tc 2.48
Tc 0.0000 0.0000 0.0000  6 S 2.48-2.53
Tc 0.0000 0.0000 0.5000  6 S 2.48-2.53